[1]
This record from Alexandria describes crystalline TaBeSeO2 at its relaxed geometry. The functional is GGA-PBE.

Cell lengths 3.8766, 3.8766, 4.3814 Å; angles 90.00, 90.00, 90.00 degrees
Space group P4/mmm (No. 123)
Asymmetric unit:
Ta (0.0000, 0.0000, 0.0000) [1 per cell]
Be (0.5000, 0.5000, 0.0000) [1 per cell]
Se (0.5000, 0.5000, 0.5000) [1 per cell]
O (0.0000, 0.5000, 0.5000) [2 per cell]

Output
The spin magnetization comes out at 0.0 μB/f.u. Its formation energy (no corrections) is 3.050 eV per formula unit. The calculation puts the calculated volume at 66 Å³/cell.

=====

[2]
This record from Alexandria describes crystalline Be2TcSeO at its relaxed geometry. The functional is GGA-PBE.

Cell lengths 3.5355, 3.5355, 4.7464 Å; angles 90.00, 90.00, 90.00 degrees
Space group P4/mmm (No. 123)
Asymmetric unit:
Be (0.0000, 0.5000, 0.0000) [2 per cell]
Tc (0.0000, 0.0000, 0.5000) [1 per cell]
Se (0.5000, 0.5000, 0.5000) [1 per cell]
O (0.0000, 0.0000, 0.0000) [1 per cell]

Output
The spin magnetization comes out at 0.3 μB/f.u. Its formation energy (no corrections) is -0.357 eV per formula unit. The calculation puts the calculated volume at 59 Å³/cell.